Record 1
This record from the Alexandria database describes a relaxed Ca2MoPb crystal. The functional is PBE-GGA.

## Properties
- calculated formation energy (meV per atom) = 440
- electronic total energy (eV for the cell shown) = -33.6
- magnetic moment (μB per formula unit) = 0.70

a = 6.377 Å, b = 9.874 Å, c = 3.175 Å
α = 90.00°, β = 90.22°, γ = 90.00°
Space group C2/m (No. 12)
Inequivalent atoms, fractional coordinates:
Ca: 0.250 0.250 0.000
Mo: 0.000 0.000 0.500
Pb: 0.000 0.500 0.500

=====

Record 2
This record from the Alexandria database describes a relaxed CaMo2Pb crystal. The functional is PBE-GGA.

## Properties
- calculated formation energy (meV per atom) = 982
- electronic total energy (eV for the cell shown) = -70.3
- magnetic moment (μB per formula unit) = 0.00

a = 3.1158 Å, b = 3.1158 Å, c = 30.0097 Å
α = 90.00°, β = 90.00°, γ = 120.00°
Space group R-3m (No. 166, hexagonal axes)
Inequivalent atoms, fractional coordinates:
Ca: 0.0000 0.0000 0.0000
Mo: 0.0000 0.0000 0.2454
Pb: 0.0000 0.0000 0.5000

=====

Record 3
This record from the Alexandria database describes a relaxed Ca2MoPb crystal. The functional is PBE-GGA.

## Properties
- calculated formation energy (meV per atom) = 461
- electronic total energy (eV for the cell shown) = -33.4
- magnetic moment (μB per formula unit) = 0.00

a = 4.103 Å, b = 5.243 Å, c = 10.156 Å
α = 90.00°, β = 90.00°, γ = 90.00°
Space group Cmm2 (No. 35)
Inequivalent atoms, fractional coordinates:
Ca: 0.000 0.000 0.000
Ca: 0.000 0.500 0.324
Mo: 0.000 0.500 0.772
Pb: 0.000 0.000 0.579

=====

Record 4
This record from the Alexandria database describes a relaxed CaMo2PtPb crystal. The functional is PBE-GGA.

## Properties
- calculated formation energy (meV per atom) = 1540
- electronic total energy (eV for the cell shown) = -25.7
- magnetic moment (μB per formula unit) = 6.11

a = 5.265 Å, b = 5.265 Å, c = 5.132 Å
α = 90.00°, β = 90.00°, γ = 90.00°
Space group P4/mmm (No. 123)
Inequivalent atoms, fractional coordinates:
Ca: 0.000 0.000 0.000
Mo: 0.000 0.500 0.500
Pt: 0.500 0.500 0.000
Pb: 0.500 0.500 0.500

=====

Record 5
This record from the Alexandria database describes a relaxed Ca2MoRhPb crystal. The functional is PBE-GGA.

## Properties
- calculated formation energy (meV per atom) = 1081
- electronic total energy (eV for the cell shown) = -20.5
- magnetic moment (μB per formula unit) = 0.00

a = 5.190 Å, b = 5.190 Å, c = 5.304 Å
α = 90.00°, β = 90.00°, γ = 90.00°
Space group P4/mmm (No. 123)
Inequivalent atoms, fractional coordinates:
Ca: 0.000 0.500 0.000
Mo: 0.000 0.000 0.000
Rh: 0.500 0.500 0.500
Pb: 0.000 0.000 0.500

=====

Record 6
This record from the Alexandria database describes a relaxed Ca2MoRuPb crystal. The functional is PBE-GGA.

## Properties
- calculated formation energy (meV per atom) = 737
- electronic total energy (eV for the cell shown) = -24.1
- magnetic moment (μB per formula unit) = 0.91

a = 5.655 Å, b = 5.655 Å, c = 4.543 Å
α = 90.00°, β = 90.00°, γ = 90.00°
Space group P4/mmm (No. 123)
Inequivalent atoms, fractional coordinates:
Ca: 0.000 0.500 0.000
Mo: 0.000 0.000 0.000
Ru: 0.000 0.000 0.500
Pb: 0.500 0.500 0.500

=====

Record 7
This record from the Alexandria database describes a relaxed CaScMo2Pb crystal. The functional is PBE-GGA.

## Properties
- calculated formation energy (meV per atom) = 1431
- electronic total energy (eV for the cell shown) = -26.5
- magnetic moment (μB per formula unit) = 1.38

a = 4.755 Å, b = 4.755 Å, c = 5.526 Å
α = 90.00°, β = 90.00°, γ = 90.00°
Space group P4/mmm (No. 123)
Inequivalent atoms, fractional coordinates:
Ca: 0.000 0.000 0.000
Sc: 0.000 0.000 0.500
Mo: 0.000 0.500 0.500
Pb: 0.500 0.500 0.000

=====

Record 8
This record from the Alexandria database describes a relaxed CaTl2MoPb crystal. The functional is PBE-GGA.

## Properties
- calculated formation energy (meV per atom) = 930
- electronic total energy (eV for the cell shown) = -16.6
- magnetic moment (μB per formula unit) = 3.68

a = 5.864 Å, b = 5.864 Å, c = 5.438 Å
α = 90.00°, β = 90.00°, γ = 90.00°
Space group P4/mmm (No. 123)
Inequivalent atoms, fractional coordinates:
Ca: 0.000 0.000 0.000
Tl: 0.000 0.500 0.500
Mo: 0.500 0.500 0.000
Pb: 0.500 0.500 0.500

=====

Record 9
This record from the Alexandria database describes a relaxed CaY2MoPb crystal. The functional is PBE-GGA.

## Properties
- calculated formation energy (meV per atom) = 1749
- electronic total energy (eV for the cell shown) = -20.7
- magnetic moment (μB per formula unit) = 0.35

a = 5.398 Å, b = 5.398 Å, c = 5.417 Å
α = 90.00°, β = 90.00°, γ = 90.00°
Space group P4/mmm (No. 123)
Inequivalent atoms, fractional coordinates:
Ca: 0.000 0.000 0.000
Y: 0.000 0.500 0.000
Mo: 0.500 0.500 0.500
Pb: 0.000 0.000 0.500

=====

Record 10
This record from the Alexandria database describes a relaxed CaYMoPb2 crystal. The functional is PBE-GGA.

## Properties
- calculated formation energy (meV per atom) = 1651
- electronic total energy (eV for the cell shown) = -18.5
- magnetic moment (μB per formula unit) = 0.71

a = 5.733 Å, b = 5.733 Å, c = 5.862 Å
α = 90.00°, β = 90.00°, γ = 90.00°
Space group P4/mmm (No. 123)
Inequivalent atoms, fractional coordinates:
Ca: 0.000 0.000 0.000
Y: 0.000 0.000 0.500
Mo: 0.500 0.500 0.000
Pb: 0.000 0.500 0.500

=====

Record 11
This record from the Alexandria database describes a relaxed CaZnMo2Pb crystal. The functional is PBE-GGA.

## Properties
- calculated formation energy (meV per atom) = 1842
- electronic total energy (eV for the cell shown) = -19.4
- magnetic moment (μB per formula unit) = 0.00

a = 5.132 Å, b = 5.132 Å, c = 5.589 Å
α = 90.00°, β = 90.00°, γ = 90.00°
Space group P4/mmm (No. 123)
Inequivalent atoms, fractional coordinates:
Ca: 0.000 0.000 0.000
Zn: 0.500 0.500 0.000
Mo: 0.000 0.500 0.500
Pb: 0.000 0.000 0.500

=====

Record 12
This record from the Alexandria database describes a relaxed CaMoPd3 crystal. The functional is PBE-GGA.

## Properties
- calculated formation energy (meV per atom) = 396
- relative energy among the computed polymorphs (meV per atom) = 0
- electronic total energy (eV for the cell shown) = -26.4
- magnetic moment (μB per formula unit) = 0.00

a = 4.865 Å, b = 4.865 Å, c = 4.865 Å
α = 90.00°, β = 90.00°, γ = 90.00°
Space group Pm-3m (No. 221)
Inequivalent atoms, fractional coordinates:
Ca: 0.000 0.000 0.000
Mo: 0.500 0.500 0.500
Pd: 0.000 0.500 0.500

=====

Record 13
This record from the Alexandria database describes a relaxed Ca2MoPd crystal. The functional is PBE-GGA.

## Properties
- calculated formation energy (meV per atom) = 401
- relative energy among the computed polymorphs (meV per atom) = 0
- electronic total energy (eV for the cell shown) = -73.7
- magnetic moment (μB per formula unit) = 3.56

a = 7.191 Å, b = 7.191 Å, c = 7.191 Å
α = 90.00°, β = 90.00°, γ = 90.00°
Space group Fm-3m (No. 225)
Inequivalent atoms, fractional coordinates:
Ca: 0.250 0.250 0.250
Mo: 0.000 0.000 0.000
Pd: 0.000 0.000 0.500

=====

Record 14
This record from the Alexandria database describes a relaxed CaMo2Pd crystal. The functional is PBE-GGA.

## Properties
- calculated formation energy (meV per atom) = 898
- relative energy among the computed polymorphs (meV per atom) = 80
- electronic total energy (eV for the cell shown) = -101.1
- magnetic moment (μB per formula unit) = 0.00

a = 6.535 Å, b = 6.535 Å, c = 6.535 Å
α = 90.00°, β = 90.00°, γ = 90.00°
Space group Fm-3m (No. 225)
Inequivalent atoms, fractional coordinates:
Ca: 0.000 0.000 0.000
Mo: 0.250 0.250 0.250
Pd: 0.000 0.000 0.500

=====

Record 15
This record from the Alexandria database describes a relaxed Ca2MoPd crystal. The functional is PBE-GGA.

## Properties
- calculated formation energy (meV per atom) = 702
- relative energy among the computed polymorphs (meV per atom) = 302
- electronic total energy (eV for the cell shown) = -68.9
- magnetic moment (μB per formula unit) = 0.00

a = 7.998 Å, b = 7.998 Å, c = 5.826 Å
α = 90.00°, β = 90.00°, γ = 90.00°
Space group I-42d (No. 122)
Inequivalent atoms, fractional coordinates:
Ca: 0.220 0.250 0.125
Mo: 0.000 0.000 0.500
Pd: 0.000 0.000 0.000

=====

Record 16
This record from the Alexandria database describes a relaxed CaMo2Pd crystal. The functional is PBE-GGA.

## Properties
- calculated formation energy (meV per atom) = 818
- relative energy among the computed polymorphs (meV per atom) = 0
- electronic total energy (eV for the cell shown) = -102.3
- magnetic moment (μB per formula unit) = 0.00

a = 7.902 Å, b = 7.902 Å, c = 5.092 Å
α = 90.00°, β = 90.00°, γ = 90.00°
Space group I-42d (No. 122)
Inequivalent atoms, fractional coordinates:
Ca: 0.000 0.000 0.000
Mo: 0.209 0.250 0.625
Pd: 0.000 0.000 0.500

=====

Record 17
This record from the Alexandria database describes a relaxed CaMo3Pd crystal. The functional is PBE-GGA.

## Properties
- calculated formation energy (meV per atom) = 2584
- relative energy among the computed polymorphs (meV per atom) = 961
- electronic total energy (eV for the cell shown) = -26.8
- magnetic moment (μB per formula unit) = 0.00

a = 4.552 Å, b = 4.552 Å, c = 4.552 Å
α = 90.00°, β = 90.00°, γ = 90.00°
Space group Pm-3m (No. 221)
Inequivalent atoms, fractional coordinates:
Ca: 0.000 0.000 0.000
Mo: 0.000 0.000 0.500
Pd: 0.500 0.500 0.500

=====

Record 18
This record from the Alexandria database describes a relaxed CaMo3Pd crystal. The functional is PBE-GGA.

## Properties
- calculated formation energy (meV per atom) = 1623
- relative energy among the computed polymorphs (meV per atom) = 0
- electronic total energy (eV for the cell shown) = -31.6
- magnetic moment (μB per formula unit) = 0.00

a = 4.843 Å, b = 4.843 Å, c = 4.843 Å
α = 90.00°, β = 90.00°, γ = 90.00°
Space group Pm-3m (No. 221)
Inequivalent atoms, fractional coordinates:
Ca: 0.000 0.000 0.000
Mo: 0.000 0.500 0.500
Pd: 0.500 0.500 0.500

=====

Record 19
This record from the Alexandria database describes a relaxed Rb2CaMoPd crystal. The functional is PBE-GGA.

## Properties
- calculated formation energy (meV per atom) = 1004
- electronic total energy (eV for the cell shown) = -14.9
- magnetic moment (μB per formula unit) = 4.33

a = 6.544 Å, b = 6.544 Å, c = 5.153 Å
α = 90.00°, β = 90.00°, γ = 90.00°
Space group P4/mmm (No. 123)
Inequivalent atoms, fractional coordinates:
Rb: 0.000 0.500 0.000
Ca: 0.000 0.000 0.500
Mo: 0.500 0.500 0.500
Pd: 0.500 0.500 0.000

=====

Record 20
This record from the Alexandria database describes a relaxed CaReMo2Pd crystal. The functional is PBE-GGA.

## Properties
- calculated formation energy (meV per atom) = 993
- electronic total energy (eV for the cell shown) = -36.3
- magnetic moment (μB per formula unit) = 1.57

a = 4.762 Å, b = 4.762 Å, c = 5.047 Å
α = 90.00°, β = 90.00°, γ = 90.00°
Space group P4/mmm (No. 123)
Inequivalent atoms, fractional coordinates:
Ca: 0.000 0.000 0.000
Re: 0.500 0.500 0.500
Mo: 0.000 0.500 0.500
Pd: 0.500 0.500 0.000